First-principles (GGA-PBE) data for Dy2Ho6Sc after structural relaxation, as listed in Alexandria via LeMat-Bulk.

Lattice parameters (Å, degrees): 15.9429 11.4099 6.0420 90.00 96.07 90.00
Last column: nearest neighbours and their distance in Å.
Space group C2/c (No. 15)
Inequivalent atoms, fractional coordinates:
1 Dy 0.1699 0.0982 0.0702 (multiplicity 8)  9 Ho 3.37-3.75, 2 Dy 3.76
2 Ho 0.0474 0.1428 0.5109 (multiplicity 8)  4 Ho 3.25-3.59, 1 Sc 3.37, 3 Dy 3.37-3.50
3 Ho 0.1123 0.3633 0.8252 (multiplicity 8)  5 Ho 3.25-3.60, 2 Sc 3.26-3.31, 2 Dy 3.45-3.49
4 Ho 0.2068 0.3582 0.3536 (multiplicity 8)  4 Ho 3.26-3.51, 1 Sc 3.32, 3 Dy 3.38-3.44
5 Sc 0.0000 0.3986 0.2500 (multiplicity 4)  8 Ho 3.26-3.37

final energy = -4.67 eV/atom
E above lowest polymorph = 72.5 meV per atom
energy of formation = 0.104 eV per atom
DOS at the Fermi energy = 1.479 states/eV/atom

***

First-principles (GGA-PBE) data for AgSb4Br after structural relaxation, as listed in Alexandria via LeMat-Bulk.

Lattice parameters (Å, degrees): 8.9990 8.9990 8.9990 90.00 90.00 90.00
Last column: nearest neighbours and their distance in Å.
Space group F-43m (No. 216)
Inequivalent atoms, fractional coordinates:
1 Ag 0.0000 0.0000 0.0000 (multiplicity 4)  12 Sb 3.76, 4 Br 3.90
2 Sb 0.1147 0.1147 0.3853 (multiplicity 16)  3 Sb 2.92
3 Br 0.2500 0.2500 0.7500 (multiplicity 4)  12 Sb 3.71, 4 Ag 3.90

final energy = -3.23 eV/atom
formation energy (no corrections) = 1.7 eV/f.u.
DOS at the Fermi energy = 0.342 states/eV/atom

***

First-principles (GGA-PBE) data for B2HS after structural relaxation, as listed in Alexandria via LeMat-Bulk.

Lattice parameters (Å, degrees): 4.2085 4.2085 7.9812 90.00 90.00 90.00
Last column: nearest neighbours and their distance in Å.
Space group I-42d (No. 122)
Inequivalent atoms, fractional coordinates:
1 B 0.1982 0.2500 0.1250 (multiplicity 8)  2 H 1.67
2 H 0.0000 0.0000 0.0000 (multiplicity 4)  4 B 1.67
3 S 0.0000 0.0000 0.5000 (multiplicity 4)  4 B 1.93

final energy = -4.10 eV/atom
E above lowest polymorph = 0.0 meV per atom
DOS at the Fermi energy = 0.320 states/eV/atom

***

First-principles (GGA-PBE) data for LiLaTlRh after structural relaxation, as listed in Alexandria via LeMat-Bulk.

Lattice parameters (Å, degrees): 6.9773 6.9773 6.9773 90.00 90.00 90.00
Last column: nearest neighbours and their distance in Å.
Space group F-43m (No. 216)
Inequivalent atoms, fractional coordinates:
1 Li 0.0000 0.0000 0.0000 (multiplicity 4)  4 Tl 3.02, 4 La 3.02
2 La 0.2500 0.2500 0.7500 (multiplicity 4)  4 Li 3.02, 4 Rh 3.02
3 Tl 0.2500 0.2500 0.2500 (multiplicity 4)  4 Li 3.02, 4 Rh 3.02
4 Rh 0.0000 0.0000 0.5000 (multiplicity 4)  4 Tl 3.02, 4 La 3.02

final energy = -4.51 eV/atom
energy of formation = -0.370 eV per atom
DOS at the Fermi energy = 1.077 states/eV/atom

***

First-principles (GGA-PBE) data for RbMg2HgPd after structural relaxation, as listed in Alexandria via LeMat-Bulk.

Lattice parameters (Å, degrees): 5.1678 5.1678 5.4796 90.00 90.00 90.00
Last column: nearest neighbours and their distance in Å.
Space group P4/mmm (No. 123)
Inequivalent atoms, fractional coordinates:
1 Rb 0.0000 0.0000 0.0000 (multiplicity 1)  4 Hg 3.65, 8 Mg 3.77
2 Mg 0.0000 0.5000 0.5000 (multiplicity 2)  2 Pd 2.58
3 Hg 0.5000 0.5000 0.0000 (multiplicity 1)  2 Pd 2.74
4 Pd 0.5000 0.5000 0.5000 (multiplicity 1)  4 Mg 2.58, 2 Hg 2.74

final energy = -2.14 eV/atom
energy of formation = -0.211 eV per atom
DOS at the Fermi energy = 0.339 states/eV/atom

***

First-principles (GGA-PBE) data for Ge2PtIF after structural relaxation, as listed in Alexandria via LeMat-Bulk.

Lattice parameters (Å, degrees): 4.9207 4.9207 4.6304 90.00 90.00 90.00
Last column: nearest neighbours and their distance in Å.
Space group P4/mmm (No. 123)
Inequivalent atoms, fractional coordinates:
1 Ge 0.0000 0.5000 0.0000 (multiplicity 2)  2 Pt 2.46
2 Pt 0.0000 0.0000 0.0000 (multiplicity 1)  2 F 2.32, 4 Ge 2.46
3 I 0.5000 0.5000 0.5000 (multiplicity 1)  8 Ge 3.38, 4 F 3.48
4 F 0.0000 0.0000 0.5000 (multiplicity 1)  2 Pt 2.32

final energy = -4.02 eV/atom
formation energy (no corrections) = -1.4 eV/f.u.
DOS at the Fermi energy = 0.560 states/eV/atom